Zn3MoO | PBE+U | relaxed

Cell lengths 4.2763, 4.2763, 4.2763 Å; angles 90.00, 90.00, 90.00 degrees
With the nearest neighbours (Å) after each atom.
Fractional positions:
Zn 0.0000 0.0000 0.5000  2 O 2.14
Zn 0.0000 0.5000 0.0000  2 O 2.14
Zn 0.5000 0.0000 0.0000  2 O 2.14
Mo 0.5000 0.5000 0.5000  12 Zn 3.02
O 0.0000 0.0000 0.0000  6 Zn 2.14

Output
* DOS at the Fermi energy: 1.85 states/eV/f.u.
* E: -2.944 eV/atom
* theoretical density: 6.54 g/cm³